[1]
Material: Na5Cd3
Method: DFT, PBE
State: optimized geometry

- V (Å³/f.u.) = 220.8
- E_tot (eV/atom) = -1.227
- ΔH_f (0 K) (eV per atom) = -0.06

a b c (Å): 6.7300 6.7300 4.8763
angles (deg): 90.00 90.00 90.53
Positions (direct):
Na1 0.0000 0.0000 0.0000
Na2 0.0000 0.5000 0.0000
Na3 0.2548 0.7452 0.5000
Na4 0.5000 0.0000 0.0000
Na5 0.7452 0.2548 0.5000
Cd1 0.2657 0.2657 0.5000
Cd2 0.5000 0.5000 0.0000
Cd3 0.7343 0.7343 0.5000

[2]
Material: Na5Cd
Method: DFT, PBE
State: optimized geometry

- V (Å³/f.u.) = 193.7
- E_tot (eV/atom) = -1.266
- ΔH_f (0 K) (eV per atom) = -0.01

a b c (Å): 8.4422 8.4422 4.4435
angles (deg): 90.00 90.00 142.29
Positions (direct):
Na1 0.0000 0.0000 0.0000
Na2 0.1628 0.8372 0.5000
Na3 0.3461 0.6539 0.0000
Na4 0.6539 0.3461 0.0000
Na5 0.8372 0.1628 0.5000
Cd1 0.5000 0.5000 0.5000

[3]
Material: Na2Cd
Method: DFT, PBE
State: optimized geometry

- V (Å³/f.u.) = 92.2
- E_tot (eV/atom) = -1.249
- ΔH_f (0 K) (eV per atom) = -0.06

a b c (Å): 6.2849 6.2849 6.2849
angles (deg): 103.73 103.73 121.68
Positions (direct):
Na1 0.1644 0.6644 0.8288
Na2 0.3356 0.1644 0.5000
Na3 0.6644 0.8356 0.5000
Na4 0.8356 0.3356 0.1712
Cd1 0.2500 0.2500 0.0000
Cd2 0.7500 0.7500 0.0000

[4]
Material: Na23Cd6
Method: DFT, PBE
State: optimized geometry

- V (Å³/f.u.) = 1008.3
- E_tot (eV/atom) = -1.241
- ΔH_f (0 K) (eV per atom) = -0.01

a b c (Å): 11.2558 11.2558 11.2558
angles (deg): 60.00 60.00 60.00
Positions (direct):
Na1 0.0000 0.0000 0.0000
Na2 0.0000 0.0000 0.3462
Na3 0.0000 0.0000 0.6538
Na4 0.0000 0.3462 0.0000
Na5 0.0000 0.3462 0.6538
Na6 0.0000 0.6538 0.0000
Na7 0.0000 0.6538 0.3462
Na8 0.1453 0.6182 0.6182
Na9 0.2500 0.2500 0.2500
Na10 0.3462 0.0000 0.0000
Na11 0.3462 0.0000 0.6538
Na12 0.3462 0.6538 0.0000
Na13 0.3818 0.3818 0.3818
Na14 0.3818 0.3818 0.8547
Na15 0.3818 0.8547 0.3818
Na16 0.6182 0.1453 0.6182
Na17 0.6182 0.6182 0.1453
Na18 0.6182 0.6182 0.6182
Na19 0.6538 0.0000 0.0000
Na20 0.6538 0.0000 0.3462
Na21 0.6538 0.3462 0.0000
Na22 0.7500 0.7500 0.7500
Na23 0.8547 0.3818 0.3818
Cd1 0.2674 0.2674 0.7326
Cd2 0.2674 0.7326 0.2674
Cd3 0.2674 0.7326 0.7326
Cd4 0.7326 0.2674 0.2674
Cd5 0.7326 0.2674 0.7326
Cd6 0.7326 0.7326 0.2674

[5]
Material: Na13Cd2
Method: DFT, PBE
State: optimized geometry

- V (Å³/f.u.) = 498.1
- E_tot (eV/atom) = -1.280
- ΔH_f (0 K) (eV per atom) = -0.01

a b c (Å): 7.1140 8.7111 8.9744
angles (deg): 66.66 77.34 83.76
Positions (direct):
Na1 0.0000 0.0000 0.0000
Na2 0.1260 0.4787 0.7560
Na3 0.1906 0.2015 0.1907
Na4 0.2547 0.9383 0.5818
Na5 0.3246 0.6693 0.9873
Na6 0.3551 0.4146 0.3992
Na7 0.4826 0.1429 0.7866
Na8 0.5174 0.8571 0.2134
Na9 0.6449 0.5854 0.6008
Na10 0.6754 0.3307 0.0127
Na11 0.7453 0.0617 0.4182
Na12 0.8094 0.7985 0.8093
Na13 0.8740 0.5213 0.2440
Cd1 0.0627 0.7613 0.3837
Cd2 0.9373 0.2387 0.6163

[6]
Material: NaCd5
Method: DFT, PBE
State: optimized geometry

- V (Å³/f.u.) = 139.6
- E_tot (eV/atom) = -0.983
- ΔH_f (0 K) (eV per atom) = 0.00

a b c (Å): 3.1730 3.1730 16.0103
angles (deg): 90.00 90.00 120.00
Positions (direct):
Na1 0.0000 0.0000 0.0000
Cd1 0.0000 0.0000 0.3332
Cd2 0.0000 0.0000 0.6668
Cd3 0.6667 0.3333 0.1691
Cd4 0.6667 0.3333 0.5000
Cd5 0.6667 0.3333 0.8309

Please write out number 4 again, unchanged.
Material: Na23Cd6
Method: DFT, PBE
State: optimized geometry

- V (Å³/f.u.) = 1008.3
- E_tot (eV/atom) = -1.241
- ΔH_f (0 K) (eV per atom) = -0.01

a b c (Å): 11.2558 11.2558 11.2558
angles (deg): 60.00 60.00 60.00
Positions (direct):
Na1 0.0000 0.0000 0.0000
Na2 0.0000 0.0000 0.3462
Na3 0.0000 0.0000 0.6538
Na4 0.0000 0.3462 0.0000
Na5 0.0000 0.3462 0.6538
Na6 0.0000 0.6538 0.0000
Na7 0.0000 0.6538 0.3462
Na8 0.1453 0.6182 0.6182
Na9 0.2500 0.2500 0.2500
Na10 0.3462 0.0000 0.0000
Na11 0.3462 0.0000 0.6538
Na12 0.3462 0.6538 0.0000
Na13 0.3818 0.3818 0.3818
Na14 0.3818 0.3818 0.8547
Na15 0.3818 0.8547 0.3818
Na16 0.6182 0.1453 0.6182
Na17 0.6182 0.6182 0.1453
Na18 0.6182 0.6182 0.6182
Na19 0.6538 0.0000 0.0000
Na20 0.6538 0.0000 0.3462
Na21 0.6538 0.3462 0.0000
Na22 0.7500 0.7500 0.7500
Na23 0.8547 0.3818 0.3818
Cd1 0.2674 0.2674 0.7326
Cd2 0.2674 0.7326 0.2674
Cd3 0.2674 0.7326 0.7326
Cd4 0.7326 0.2674 0.2674
Cd5 0.7326 0.2674 0.7326
Cd6 0.7326 0.7326 0.2674

> The lowest E_tot belongs to which entry?

Na13Cd2

Repeat the sixth record exactly.
Material: NaCd5
Method: DFT, PBE
State: optimized geometry

- V (Å³/f.u.) = 139.6
- E_tot (eV/atom) = -0.983
- ΔH_f (0 K) (eV per atom) = 0.00

a b c (Å): 3.1730 3.1730 16.0103
angles (deg): 90.00 90.00 120.00
Positions (direct):
Na1 0.0000 0.0000 0.0000
Cd1 0.0000 0.0000 0.3332
Cd2 0.0000 0.0000 0.6668
Cd3 0.6667 0.3333 0.1691
Cd4 0.6667 0.3333 0.5000
Cd5 0.6667 0.3333 0.8309

> What is the V in the sixth record?

139.6 Å³/f.u.